A relaxed structure of CoHg2Sb, computed with GGA-PBEsol.

```
4
Lattice="2.127 -2.133 0.000 2.127 2.133 0.000 0.000 0.000 8.822" Properties=species:S:1:pos:R:3 pbc="T T T"
Co 0.000 0.000 0.000
Hg 2.127 0.000 1.675
Hg 2.127 0.000 7.147
Sb 0.000 0.000 4.411
```

DFT total energy	-0.2190	Ry per atom
formation energy without anion corrections	0.38	eV/atom

A relaxed structure of ScCoHg, computed with GGA-PBEsol.

```
3
Lattice="-1.634 1.634 4.620 1.634 -1.634 4.620 1.634 1.634 -4.620" Properties=species:S:1:pos:R:3 pbc="T T T"
Sc 0.000 0.000 0.000
Co 0.000 0.000 5.892
Hg 0.000 0.000 2.839
```

ΔH_f (0 K)	-0.23	eV per atom
DFT total energy	-0.3821	Ry per atom